Record 1
# BaPrCd17, relaxed, DFT PBE
data_BaPrCd17
_space_group_name_H-M_alt 'P 1'
_space_group_IT_number 1
_space_group_name_Hall 'P 1'
_cell_length_a 7.777
_cell_length_b 7.777
_cell_length_c 7.777
_cell_angle_alpha 82.50
_cell_angle_beta 82.50
_cell_angle_gamma 82.50
loop_
_atom_site_label
_atom_site_fract_x
_atom_site_fract_y
_atom_site_fract_z
Cd1 0.701 0.002 0.295
Cd2 0.350 0.859 0.350
Cd3 0.105 0.105 0.105
Cd4 0.989 0.512 0.989
Cd5 0.295 0.701 0.002
Cd6 0.295 0.002 0.701
Cd7 0.989 0.989 0.512
Cd8 0.906 0.906 0.906
Cd9 0.002 0.701 0.295
Cd10 0.859 0.350 0.350
Cd11 0.350 0.350 0.859
Cd12 0.701 0.295 0.002
Cd13 0.512 0.989 0.989
Cd14 0.633 0.181 0.633
Cd15 0.633 0.633 0.181
Cd16 0.181 0.633 0.633
Cd17 0.002 0.295 0.701
Pr1 0.331 0.331 0.331
Ba1 0.664 0.664 0.664
# Magnetic moment ... 0.00 μB/cell
# Space group ... R3m (160)

---

Record 2
# BaPr2Cd3, relaxed, DFT PBE
data_BaPr2Cd3
_space_group_name_H-M_alt 'P 1'
_space_group_IT_number 1
_space_group_name_Hall 'P 1'
_cell_length_a 3.963
_cell_length_b 3.963
_cell_length_c 12.221
_cell_angle_alpha 90.00
_cell_angle_beta 90.00
_cell_angle_gamma 90.00
loop_
_atom_site_label
_atom_site_fract_x
_atom_site_fract_y
_atom_site_fract_z
Pr1 0.500 0.500 0.155
Pr2 0.500 0.500 0.845
Ba1 0.500 0.500 0.500
Cd1 0.000 0.000 0.696
Cd2 0.000 0.000 0.000
Cd3 0.000 0.000 0.304
# Magnetic moment ... 0.00 μB/cell
# Space group ... P4/mmm (123)

---

Number 1: formation energy from the elements -0.175 eV/atom. Number 2: formation energy from the elements -0.308 eV/atom.